Entry from Alexandria: a relaxed structure of Li7Ni9O16 (PBE+U).

Computed properties:
Uncorrected energy   -4.83 eV/atom

abc: 5.0621 5.8135 10.4952
angles: 73.50 76.22 73.15
Closest atoms and distances in Å follow each position.
Sites, in units of the cell vectors:
Li 0.0034 0.8081 0.6246  6 O 2.05-2.20
Li 0.9937 0.9334 0.8781  6 O 2.08-2.18
Li 0.0063 0.0666 0.1219  6 O 2.08-2.18
Li 0.9915 0.4436 0.8761  6 O 2.04-2.24
Li 0.9966 0.1919 0.3754  6 O 2.05-2.20
Li 0.0085 0.5564 0.1239  6 O 2.04-2.24
Li 0.5000 0.5000 0.5000  6 O 2.07-2.12
Ni 0.9979 0.3111 0.6256  6 O 2.03-2.09
Ni 0.4984 0.1271 0.7475  6 O 1.93-2.04
Ni 0.5016 0.8729 0.2525  6 O 1.93-2.04
Ni 0.5021 0.2503 0.9991  6 O 1.91-2.05
Ni 0.5000 0.0000 0.5000  6 O 2.01-2.09
Ni 0.4919 0.6250 0.7496  6 O 2.02-2.07
Ni 0.5081 0.3750 0.2504  6 O 2.02-2.07
Ni 0.4979 0.7497 0.0009  6 O 1.91-2.05
Ni 0.0021 0.6889 0.3744  6 O 2.03-2.09
O 0.2557 0.9731 0.6820  4 Ni 2.01-2.05, 2 Li 2.08-2.16
O 0.2585 0.8489 0.4251  3 Ni 1.93-2.09, 2 Li 2.05-2.08
O 0.7226 0.9278 0.0623  3 Ni 1.91-2.05, 2 Li 2.08-2.12
O 0.2774 0.0722 0.9377  3 Ni 1.91-2.05, 2 Li 2.08-2.12
O 0.2498 0.4493 0.6945  3 Ni 1.94-2.07, 3 Li 2.04-2.12
O 0.2831 0.2138 0.1807  3 Ni 1.95-2.03, 2 Li 2.09-2.12
O 0.7443 0.0269 0.3180  4 Ni 2.01-2.05, 2 Li 2.08-2.16
O 0.7342 0.2841 0.8132  4 Ni 2.01-2.09, 2 Li 2.11
O 0.2739 0.5731 0.9390  3 Ni 1.92-2.04, 2 Li 2.08-2.10
O 0.7261 0.4269 0.0610  3 Ni 1.92-2.04, 2 Li 2.08-2.10
O 0.2464 0.3480 0.4357  4 Ni 2.03-2.08, 2 Li 2.05-2.07
O 0.7415 0.1511 0.5749  3 Ni 1.93-2.09, 2 Li 2.05-2.08
O 0.7169 0.7862 0.8193  3 Ni 1.95-2.03, 2 Li 2.09-2.12
O 0.2658 0.7159 0.1868  4 Ni 2.01-2.09, 2 Li 2.11
O 0.7502 0.5507 0.3055  3 Ni 1.94-2.07, 3 Li 2.04-2.12
O 0.7536 0.6520 0.5643  4 Ni 2.03-2.08, 2 Li 2.05-2.07